## ScRhS3 (PBE-GGA)

Data for ScRhS3 after structural relaxation.

abc: 4.843 4.843 4.843
angles: 90.00 90.00 90.00
Sites, in units of the cell vectors:
Sc (0.000, 0.000, 0.000)
Rh (0.500, 0.500, 0.500)
S (0.000, 0.000, 0.500)
S (0.000, 0.500, 0.000)
S (0.500, 0.000, 0.000)

* uncorrected formation energy: 146 meV/atom
* SG: Pm-3m
* distance to the lowest polymorph of the same formula: 0.420 eV/atom
* uncorrected energy: -25.33 eV/f.u.


## SrLiNF2 (PBE-GGA)

Data for SrLiNF2 after structural relaxation.

abc: 4.685 4.685 5.116
angles: 90.00 90.00 90.00
Sites, in units of the cell vectors:
Sr (0.000, 0.000, 0.000)
Li (0.500, 0.500, 0.500)
N (0.000, 0.000, 0.500)
F (0.000, 0.500, 0.000)
F (0.500, 0.000, 0.000)

* uncorrected formation energy: -1353 meV/atom
* SG: P4/mmm
* distance to the lowest polymorph of the same formula: 0.413 eV/atom
* uncorrected energy: -22.43 eV/f.u.


## PuMgZnN3 (PBE-GGA)

Data for PuMgZnN3 after structural relaxation.

abc: 6.403 3.378 8.919
angles: 90.00 108.23 90.00
Sites, in units of the cell vectors:
Pu (0.195, 0.250, 0.154)
Pu (0.805, 0.750, 0.846)
Mg (0.326, 0.750, 0.888)
Mg (0.674, 0.250, 0.112)
Zn (0.477, 0.250, 0.617)
Zn (0.523, 0.750, 0.383)
N (0.085, 0.250, 0.905)
N (0.311, 0.250, 0.390)
N (0.460, 0.750, 0.148)
N (0.540, 0.250, 0.852)
N (0.689, 0.750, 0.610)
N (0.915, 0.750, 0.095)

* uncorrected formation energy: -507 meV/atom
* SG: P2_1/m
* uncorrected energy: -45.22 eV/f.u.


## CaCeAlHg (PBE-GGA)

Data for CaCeAlHg after structural relaxation.

abc: 5.330 5.330 5.330
angles: 60.00 60.00 60.00
Sites, in units of the cell vectors:
Ca (0.000, 0.000, 0.000)
Ce (0.500, 0.500, 0.500)
Al (0.250, 0.250, 0.250)
Hg (0.750, 0.750, 0.750)

* SG: F-43m
* formation enthalpy at 0 K: -315 meV/atom
* uncorrected energy: -13.24 eV/f.u.


## ZrCoCuPb (PBE-GGA)

Data for ZrCoCuPb after structural relaxation.

abc: 4.561 4.561 4.561
angles: 60.00 60.00 60.00
Sites, in units of the cell vectors:
Zr (0.000, 0.000, 0.000)
Co (0.750, 0.750, 0.750)
Cu (0.250, 0.250, 0.250)
Pb (0.500, 0.500, 0.500)

* SG: F-43m
* formation enthalpy at 0 K: -21 meV/atom
* uncorrected energy: -23.54 eV/f.u.


## La2Pr6SmTm3 (PBE-GGA)

Data for La2Pr6SmTm3 after structural relaxation.

abc: 6.356 6.356 12.037
angles: 95.04 95.04 120.04
Sites, in units of the cell vectors:
La (0.167, 0.833, 0.000)
La (0.833, 0.167, 0.000)
Pr (0.081, 0.414, 0.743)
Pr (0.253, 0.253, 0.257)
Pr (0.414, 0.081, 0.743)
Pr (0.586, 0.919, 0.257)
Pr (0.747, 0.747, 0.743)
Pr (0.919, 0.586, 0.257)
Sm (0.500, 0.500, 0.000)
Tm (0.000, 0.000, 0.500)
Tm (0.334, 0.666, 0.500)
Tm (0.666, 0.334, 0.500)

* SG: C2/m
* formation enthalpy at 0 K: 21 meV/atom
* uncorrected energy: -56.42 eV/f.u.


## Cd2PtO (PBE-GGA)

Data for Cd2PtO after structural relaxation.

abc: 5.755 5.755 5.755
angles: 111.20 111.20 106.06
Sites, in units of the cell vectors:
Cd (0.062, 0.625, 0.937)
Cd (0.375, 0.312, 0.437)
Cd (0.688, 0.125, 0.063)
Cd (0.875, 0.938, 0.563)
Pt (0.250, 0.750, 0.500)
Pt (0.500, 0.500, 0.000)
O (0.000, 0.000, 0.000)
O (0.750, 0.250, 0.500)

* uncorrected formation energy: -280 meV/atom
* SG: I-42d
* uncorrected energy: -13.95 eV/f.u.


## GaFeOs2Pt (PBE-GGA)

Data for GaFeOs2Pt after structural relaxation.

abc: 4.789 4.789 4.539
angles: 90.00 90.00 90.00
Sites, in units of the cell vectors:
Ga (0.000, 0.000, 0.000)
Fe (0.500, 0.500, 0.000)
Os (0.000, 0.500, 0.500)
Os (0.500, 0.000, 0.500)
Pt (0.000, 0.000, 0.500)

* SG: P4/mmm
* formation enthalpy at 0 K: 2000 meV/atom
* uncorrected energy: -29.99 eV/f.u.


## VSbTeI2 (PBE-GGA)

Data for VSbTeI2 after structural relaxation.

abc: 5.136 5.136 5.665
angles: 90.00 90.00 90.00
Sites, in units of the cell vectors:
V (0.000, 0.000, 0.000)
Sb (0.000, 0.000, 0.500)
Te (0.500, 0.500, 0.500)
I (0.000, 0.500, 0.000)
I (0.500, 0.000, 0.000)

* uncorrected formation energy: 329 meV/atom
* SG: P4/mmm
* distance to the lowest polymorph of the same formula: 0.068 eV/atom
* uncorrected energy: -17.84 eV/f.u.


## Pm8Te4P3Pt (PBE-GGA)

Data for Pm8Te4P3Pt after structural relaxation.

abc: 8.733 8.733 8.733
angles: 58.49 58.49 58.49
Sites, in units of the cell vectors:
Pm (0.236, 0.740, 0.740)
Pm (0.238, 0.238, 0.238)
Pm (0.260, 0.260, 0.764)
Pm (0.260, 0.764, 0.260)
Pm (0.740, 0.236, 0.740)
Pm (0.740, 0.740, 0.236)
Pm (0.762, 0.762, 0.762)
Pm (0.764, 0.260, 0.260)
Te (0.000, 0.000, 0.000)
Te (0.000, 0.500, 0.500)
Te (0.500, 0.000, 0.500)
Te (0.500, 0.500, 0.000)
P (0.000, 0.000, 0.500)
P (0.000, 0.500, 0.000)
P (0.500, 0.000, 0.000)
Pt (0.500, 0.500, 0.500)

* uncorrected formation energy: -1476 meV/atom
* SG: R-3m
* uncorrected energy: -96.45 eV/f.u.


## Zr2CrPd (PBE-GGA)

Data for Zr2CrPd after structural relaxation.

abc: 3.267 3.267 6.695
angles: 90.00 90.00 90.00
Sites, in units of the cell vectors:
Zr (0.000, 0.000, 0.234)
Zr (0.000, 0.000, 0.766)
Cr (0.500, 0.500, 0.000)
Pd (0.500, 0.500, 0.500)

* SG: P4/mmm
* distance to the lowest polymorph of the same formula: 0.000 eV/atom
* formation enthalpy at 0 K: -286 meV/atom
* uncorrected energy: -33.05 eV/f.u.


## GdPaTc4 (PBE-GGA)

Data for GdPaTc4 after structural relaxation.

abc: 5.404 5.404 5.404
angles: 60.00 60.00 60.00
Sites, in units of the cell vectors:
Gd (0.000, 0.000, 0.000)
Pa (0.250, 0.250, 0.250)
Tc (0.125, 0.625, 0.625)
Tc (0.625, 0.125, 0.625)
Tc (0.625, 0.625, 0.125)
Tc (0.625, 0.625, 0.625)

* SG: F-43m
* formation enthalpy at 0 K: -74 meV/atom
* uncorrected energy: -65.49 eV/f.u.